Density functional theory data (GGA-PBE) for a geometry-optimized Ho3Co6Si2 structure.

Properties
E_form (uncorrected) in eV/atom: -0.475
M_tot in μB per formula unit: 3.9
Symmetry: Im-3m, No. 229

Cell lengths 7.527, 7.527, 7.527 Å; angles 109.47, 109.47, 109.47 degrees
Positions (direct):
Ho: 0.000 0.285 0.285
Ho: 0.000 0.715 0.715
Ho: 0.285 0.000 0.285
Ho: 0.285 0.285 0.000
Ho: 0.715 0.000 0.715
Ho: 0.715 0.715 0.000
Co: 0.000 0.336 0.664
Co: 0.000 0.664 0.336
Co: 0.328 0.664 0.664
Co: 0.336 0.000 0.664
Co: 0.336 0.336 0.672
Co: 0.336 0.664 0.000
Co: 0.336 0.672 0.336
Co: 0.664 0.000 0.336
Co: 0.664 0.328 0.664
Co: 0.664 0.336 0.000
Co: 0.664 0.664 0.328
Co: 0.672 0.336 0.336
Si: 0.000 0.000 0.500
Si: 0.000 0.500 0.000
Si: 0.500 0.000 0.000
Si: 0.500 0.500 0.500